Crystalline Sr2AcWO6 at its relaxed geometry. Source: Alexandria, functional PBE+U.

Lattice parameters (Å, degrees): 5.980 6.184 8.643 90.00 89.89 90.00
Sites, in units of the cell vectors:
Ac 0.500 0.000 0.000
O 0.717 0.325 0.952
O 0.783 0.825 0.548
Sr 0.509 0.546 0.757
Sr 0.009 0.954 0.257
Sr 0.491 0.454 0.243
O 0.838 0.766 0.937
O 0.217 0.175 0.452
O 0.603 0.052 0.275
O 0.662 0.266 0.563
O 0.397 0.948 0.725
W 0.500 0.000 0.500
O 0.162 0.234 0.063
W 0.000 0.500 0.000
Sr 0.991 0.046 0.743
O 0.283 0.675 0.048
O 0.897 0.552 0.225
O 0.103 0.448 0.775
Ac 0.000 0.500 0.500
O 0.338 0.734 0.437

Values from the calculation:
Total energy: -72.06 eV per formula unit